## MgTaP2 (GGA-PBE)

Data for MgTaP2 after structural relaxation.

Calculated values
Volume   140.9 Å³ per cell
Calculated formation energy   -0.48 eV/atom
E   -6.55 eV per atom

a b c (Å): 3.2922 3.4800 12.2948
angles (deg): 90.00 90.00 90.00
Last column: nearest neighbours and their distance in Å.
Space group Imm2 (No. 44)
Unique sites:
Mg 0.0000 0.0000 0.0000 x2  6 P 2.64-2.82
Ta 0.0000 0.5000 0.2421 x2  6 P 2.49-2.58
P 0.0000 0.0000 0.5902 x2  2 Ta 2.49, 4 Mg 2.64
P 0.0000 0.5000 0.8195 x2  4 Ta 2.58, 2 Mg 2.82

***

## MgTaTlP2 (GGA-PBE)

Data for MgTaTlP2 after structural relaxation.

Calculated values
Volume   138.5 Å³ per cell
Calculated formation energy   1.72 eV/atom
E   -3.60 eV per atom

a b c (Å): 5.0920 5.0920 5.3413
angles (deg): 90.00 90.00 90.00
Last column: nearest neighbours and their distance in Å.
Space group P4/mmm (No. 123)
Unique sites:
Mg 0.0000 0.0000 0.0000 x1  4 Ta 3.60, 8 P 3.69
Ta 0.5000 0.5000 0.0000 x1  2 Tl 2.67
Tl 0.5000 0.5000 0.5000 x1  4 P 2.55, 2 Ta 2.67
P 0.0000 0.5000 0.5000 x2  2 Tl 2.55